Record 1
# Mn2InOs

A geometry-optimized Mn2InOs structure (PBE, Alexandria).

Geometry as POSCAR:
```
Mn2InOs
1.0
2.802 -3.699 0.000
2.802 3.699 0.000
0.000 0.000 2.886
Mn In Os
2 1 1
Cartesian
1.401 1.850 0.000
1.401 -1.850 0.000
0.000 0.000 1.443
2.802 0.000 1.443
```

Calculated values
size of the total moment: 5.590 μB per cell
symmetry: No. 65
VASP energy: -0.57202 Ry per atom
energy relative to the elements: 28.38 kJ per mole of atoms



Record 2
# MnInOs2

A geometry-optimized MnInOs2 structure (PBE, Alexandria).

Geometry as POSCAR:
```
MnInOs2
1.0
-3.616 3.616 2.546
3.616 -3.616 2.546
3.616 3.616 -2.546
Mn In Os
2 2 4
Cartesian
0.000 0.000 0.000
0.000 3.616 1.273
3.616 0.000 1.273
0.000 0.000 2.546
5.424 1.329 -0.636
1.329 1.808 0.636
-1.808 2.287 1.909
2.287 1.808 3.182
```

Calculated values
size of the total moment: 0.000 μB per cell
symmetry: No. 122
VASP energy: -0.57238 Ry per atom
energy relative to the elements: 77.60 kJ per mole of atoms



Record 3
# MnIn2Os

A geometry-optimized MnIn2Os structure (PBE, Alexandria).

Geometry as POSCAR:
```
MnIn2Os
1.0
0.000 3.266 3.266
3.266 0.000 3.266
3.266 3.266 0.000
Mn In Os
1 2 1
Cartesian
0.000 0.000 0.000
1.633 1.633 1.633
3.266 3.266 3.266
4.899 4.899 4.899
```

Calculated values
size of the total moment: 3.258 μB per cell
symmetry: No. 216
VASP energy: -0.43795 Ry per atom
energy relative to the elements: 49.25 kJ per mole of atoms



Record 4
# MnInOs2

A geometry-optimized MnInOs2 structure (PBE, Alexandria).

Geometry as POSCAR:
```
MnInOs2
1.0
1.476 -2.384 0.000
1.476 2.384 0.000
0.000 0.000 8.943
Mn In Os
1 1 2
Cartesian
0.000 0.000 0.000
0.000 0.000 4.471
1.476 0.000 2.050
1.476 0.000 6.893
```

Calculated values
size of the total moment: 2.888 μB per cell
symmetry: No. 65
VASP energy: -0.59155 Ry per atom
energy relative to the elements: 52.43 kJ per mole of atoms



Record 5
# MnIn2Os

A geometry-optimized MnIn2Os structure (PBE, Alexandria).

Geometry as POSCAR:
```
MnIn2Os
1.0
0.000 3.263 3.263
3.263 0.000 3.263
3.263 3.263 0.000
Mn In Os
1 2 1
Cartesian
0.000 0.000 0.000
1.632 1.632 1.632
4.895 4.895 4.895
3.263 3.263 3.263
```

Calculated values
size of the total moment: 3.525 μB per cell
symmetry: No. 225
VASP energy: -0.44939 Ry per atom
energy relative to the elements: 34.23 kJ per mole of atoms



Record 6
# MnInOs

A geometry-optimized MnInOs structure (PBE, Alexandria).

Geometry as POSCAR:
```
MnInOs
1.0
2.896 0.000 0.000
-1.448 2.508 0.000
0.000 0.000 6.608
Mn In Os
1 1 1
Cartesian
0.000 0.000 0.000
0.000 1.672 4.298
1.448 0.836 1.872
```

Calculated values
size of the total moment: 2.214 μB per cell
symmetry: No. 156
VASP energy: -0.53777 Ry per atom
energy relative to the elements: 38.19 kJ per mole of atoms